Record 1
An optimized crystal structure of TlIrOF2. Source: Alexandria via LeMat-Bulk, functional PBE-GGA.

Density of states at the Fermi level in states/eV per cell: 6.3
Offset from the most stable computed form in kcal/mol of atoms: 26.66

a = 4.4763 Å, b = 4.4763 Å, c = 4.2296 Å
α = 90.00°, β = 90.00°, γ = 90.00°
With the nearest neighbours (Å) after each atom.
Fractional positions:
O: 0.0000 0.0000 0.5000  2 Tl 2.11
F: 0.0000 0.5000 0.0000  2 Tl 2.24
Tl: 0.0000 0.0000 0.0000  2 O 2.11, 4 F 2.24
F: 0.5000 0.0000 0.0000  2 Tl 2.24
Ir: 0.5000 0.5000 0.5000  8 F 3.08, 4 O 3.17


Record 2
An optimized crystal structure of CaGaBiO4. Source: Alexandria via LeMat-Bulk, functional PBE-GGA.

Density of states at the Fermi level in states/eV per cell: 0.0
VASP energy in eV for the cell shown: -84.426

a = 5.7153 Å, b = 5.7153 Å, c = 7.2522 Å
α = 90.00°, β = 90.00°, γ = 115.60°
With the nearest neighbours (Å) after each atom.
Fractional positions:
O: 0.7845 0.7543 0.2500  1 Ga 1.93
O: 0.7393 0.2607 0.9566  1 Ga 1.83
O: 0.2155 0.2457 0.7500  1 Ga 1.93
Bi: 0.8348 0.1652 0.2500  4 O 2.24-2.32
O: 0.2457 0.2155 0.2500  1 Ga 1.93
Ga: 0.1526 0.8474 0.2500  4 O 1.83-1.93
O: 0.7543 0.7845 0.7500  1 Ga 1.93
O: 0.7393 0.2607 0.5434  1 Ga 1.83
O: 0.2607 0.7393 0.4566  1 Ga 1.83
Bi: 0.1652 0.8348 0.7500  4 O 2.24-2.32
Ca: 0.5000 0.5000 0.0000  6 O 2.34-2.45
O: 0.2607 0.7393 0.0434  1 Ga 1.83
Ga: 0.8474 0.1526 0.7500  4 O 1.83-1.93
Ca: 0.5000 0.5000 0.5000  6 O 2.34-2.45


Record 3
An optimized crystal structure of AlP2Pt. Source: Alexandria via LeMat-Bulk, functional PBE-GGA.

Density of states at the Fermi level in states/eV per cell: 3.8
Calculated formation energy in eV/atom: -0.337

a = 5.3236 Å, b = 5.3236 Å, c = 6.7930 Å
α = 66.93°, β = 66.93°, γ = 90.00°
With the nearest neighbours (Å) after each atom.
Fractional positions:
Al: 0.2500 0.7500 0.5000  4 P 2.39
Al: 0.5000 0.5000 0.0000  4 P 2.39
P: 0.8750 0.8868 0.7500  2 Pt 2.32, 2 Al 2.39
Pt: 0.7500 0.2500 0.5000  4 P 2.32
Pt: 0.0000 0.0000 0.0000  4 P 2.32
P: 0.1132 0.6250 0.2500  2 Pt 2.32, 2 Al 2.39
P: 0.6368 0.1250 0.2500  2 Pt 2.32, 2 Al 2.39
P: 0.3750 0.3632 0.7500  2 Pt 2.32, 2 Al 2.39


> density of states at the Fermi level of number 2 (CaGaBiO4)?

0.0 states/eV per cell